Record 1
First-principles (PBE-GGA) data for a relaxed Nd2BeAl4Pd3 crystal, as listed in Alexandria.

## Properties
- Formation energy from the elements: -0.69 eV/atom
- DOS(E_F): 7.41 states/eV/cell
- Total energy: -50.70 eV/cell

Lattice parameters (Å, degrees): 4.266 4.266 10.441 90.00 90.00 90.00
Positions (direct):
1 Pd 0.000 0.000 0.500
2 Pd 0.000 0.500 0.133
3 Pd 0.500 0.000 0.867
4 Al 0.000 0.500 0.376
5 Al 0.000 0.000 0.000
6 Al 0.500 0.500 0.000
7 Al 0.500 0.000 0.624
8 Be 0.500 0.500 0.500
9 Nd 0.000 0.500 0.741
10 Nd 0.500 0.000 0.259



Record 2
First-principles (PBE-GGA) data for a relaxed Nd2BeAlPd6 crystal, as listed in Alexandria.

## Properties
- Formation energy from the elements: -0.70 eV/atom
- DOS(E_F): 2.52 states/eV/cell
- Total energy: -55.17 eV/cell

Lattice parameters (Å, degrees): 5.812 7.253 5.904 64.14 60.56 89.97
Positions (direct):
1 Pd 0.744 0.678 0.513
2 Pd 0.252 0.292 0.981
3 Pd 0.233 0.708 0.019
4 Pd 0.256 0.322 0.487
5 Pd 0.748 0.708 0.019
6 Pd 0.767 0.292 0.981
7 Nd 0.723 0.184 0.556
8 Nd 0.277 0.816 0.444
9 Be 0.500 0.500 0.000
10 Al 0.000 0.000 0.000



Record 3
First-principles (PBE-GGA) data for a relaxed Nd3Be2AlPt9 crystal, as listed in Alexandria.

## Properties
- Formation energy from the elements: -0.86 eV/atom
- DOS(E_F): 4.92 states/eV/cell
- Total energy: -92.81 eV/cell

Lattice parameters (Å, degrees): 5.861 5.861 9.333 90.00 90.00 120.00
Positions (direct):
1 Nd 0.333 0.667 0.623
2 Nd 0.667 0.333 0.377
3 Nd 0.000 0.000 0.000
4 Pt 0.672 0.836 0.300
5 Pt 0.000 0.500 0.000
6 Pt 0.164 0.836 0.300
7 Pt 0.164 0.328 0.300
8 Pt 0.328 0.164 0.700
9 Pt 0.500 0.500 0.000
10 Pt 0.500 0.000 0.000
11 Pt 0.836 0.164 0.700
12 Pt 0.836 0.672 0.700
13 Al 0.000 0.000 0.500
14 Be 0.333 0.667 0.153
15 Be 0.667 0.333 0.847



Record 4
First-principles (PBE-GGA) data for a relaxed NdBeAlPt3 crystal, as listed in Alexandria.

## Properties
- Formation energy from the elements: -0.77 eV/atom
- DOS(E_F): 5.27 states/eV/cell
- Total energy: -70.02 eV/cell

Lattice parameters (Å, degrees): 5.606 6.832 6.937 119.50 90.00 90.00
Positions (direct):
1 Be 0.250 0.399 0.798
2 Be 0.750 0.601 0.202
3 Pt 0.000 0.703 0.000
4 Pt 0.000 0.297 0.000
5 Pt 0.250 0.215 0.431
6 Pt 0.500 0.703 0.000
7 Pt 0.500 0.297 0.000
8 Pt 0.750 0.785 0.569
9 Al 0.750 0.990 0.980
10 Al 0.250 0.010 0.020
11 Nd 0.250 0.711 0.423
12 Nd 0.750 0.289 0.577



Record 5
First-principles (PBE-GGA) data for a relaxed Nd2BeAl4Pt3 crystal, as listed in Alexandria.

## Properties
- Formation energy from the elements: -0.91 eV/atom
- DOS(E_F): 6.57 states/eV/cell
- Total energy: -55.46 eV/cell

Lattice parameters (Å, degrees): 4.243 4.243 10.503 90.00 90.00 90.00
Positions (direct):
1 Al 0.000 0.500 0.375
2 Al 0.000 0.000 0.000
3 Al 0.500 0.500 0.000
4 Al 0.500 0.000 0.625
5 Nd 0.500 0.000 0.256
6 Nd 0.000 0.500 0.744
7 Pt 0.500 0.000 0.866
8 Pt 0.000 0.000 0.500
9 Pt 0.000 0.500 0.134
10 Be 0.500 0.500 0.500



Record 6
First-principles (PBE-GGA) data for a relaxed Nd2BeAl3Pt4 crystal, as listed in Alexandria.

## Properties
- Formation energy from the elements: -1.01 eV/atom
- DOS(E_F): 8.32 states/eV/cell
- Total energy: -58.76 eV/cell

Lattice parameters (Å, degrees): 4.304 4.304 10.063 90.00 90.00 90.00
Positions (direct):
1 Nd 0.000 0.500 0.745
2 Nd 0.500 0.000 0.255
3 Al 0.000 0.500 0.130
4 Al 0.000 0.000 0.500
5 Al 0.500 0.000 0.870
6 Pt 0.000 0.500 0.378
7 Pt 0.500 0.000 0.622
8 Pt 0.000 0.000 0.000
9 Pt 0.500 0.500 0.000
10 Be 0.500 0.500 0.500



Record 7
First-principles (PBE-GGA) data for a relaxed Nd2Be2AlRh5 crystal, as listed in Alexandria.

## Properties
- Formation energy from the elements: -0.73 eV/atom
- DOS(E_F): 11.28 states/eV/cell
- Total energy: -129.60 eV/cell

Lattice parameters (Å, degrees): 3.288 9.734 9.734 90.00 90.00 90.00
Positions (direct):
1 Rh 0.500 0.211 0.065
2 Rh 0.500 0.789 0.935
3 Rh 0.500 0.935 0.211
4 Rh 0.500 0.565 0.711
5 Rh 0.500 0.435 0.289
6 Rh 0.500 0.000 0.500
7 Rh 0.500 0.711 0.435
8 Rh 0.500 0.289 0.565
9 Rh 0.500 0.065 0.789
10 Rh 0.500 0.500 0.000
11 Al 0.000 0.000 0.000
12 Al 0.000 0.500 0.500
13 Nd 0.000 0.177 0.323
14 Nd 0.000 0.677 0.177
15 Nd 0.000 0.323 0.823
16 Nd 0.000 0.823 0.677
17 Be 0.000 0.620 0.880
18 Be 0.000 0.120 0.620
19 Be 0.000 0.380 0.120
20 Be 0.000 0.880 0.380



Record 8
First-principles (PBE-GGA) data for a relaxed NdBeAl2Ru2 crystal, as listed in Alexandria.

## Properties
- Formation energy from the elements: -0.49 eV/atom
- DOS(E_F): 2.35 states/eV/cell
- Total energy: -37.46 eV/cell

Lattice parameters (Å, degrees): 4.335 4.335 5.515 90.00 90.00 90.00
Positions (direct):
1 Nd 0.000 0.000 0.500
2 Al 0.500 0.500 0.753
3 Al 0.500 0.500 0.247
4 Ru 0.000 0.500 0.000
5 Ru 0.500 0.000 0.000
6 Be 0.000 0.000 0.000



Record-wise size of the total moment values, in Bohr magnetons per cell: 0.00, 0.00, 0.00, 0.00, 0.00, 0.00, 0.00, 0.00